Compound: KCr3Ir
Source: Alexandria
Functional: GGA-PBE
Structure: relaxed

Lattice parameters (Å, degrees): 4.939 4.939 4.939 90.00 90.00 90.00
Positions (direct):
K (0.000, 0.000, 0.000)
Cr (0.000, 0.500, 0.500)
Cr (0.500, 0.000, 0.500)
Cr (0.500, 0.500, 0.000)
Ir (0.500, 0.500, 0.500)

Summary:
ΔH_f (0 K): 1.04 eV per atom
Energy above the most stable polymorph in this dataset: 0.0 meV/atom
Crystal system: cubic
DOS(E_F): 5.6 states/eV/f.u.

Compound: MnNi2Cl
Source: Alexandria
Functional: GGA-PBE
Structure: relaxed

Lattice parameters (Å, degrees): 3.062 3.062 6.607 90.00 90.00 90.70
Positions (direct):
Mn (0.000, 0.000, 0.000)
Ni (0.000, 0.000, 0.625)
Ni (0.500, 0.500, 0.771)
Cl (0.500, 0.500, 0.232)

Summary:
Energy above the most stable polymorph in this dataset: 72.4 meV/atom
Crystal system: orthorhombic
DOS(E_F): 3.0 states/eV/f.u.
Formation energy without anion corrections: 0.147 eV/atom

We obtain V values of 120.50 61.93 Å³ per cell for the records listed above, in that order.